No. 1
# La6Pm6Nd (PBE, optimized geometry)
# - calculated formation energy (kcal/mol of atoms) = 5.65
# - symmetry = P6/mmm, No. 191
# - calculated volume (Å³ per cell) = 469.30
data_La6Pm6Nd
_chemical_formula_sum 'La6 Pm6 Nd1'
_cell_length_a 6.7835
_cell_length_b 6.7835
_cell_length_c 11.7763
_cell_angle_alpha 90.00
_cell_angle_beta 90.00
_cell_angle_gamma 120.00
_symmetry_space_group_name_H-M 'P 1'
_symmetry_Int_Tables_number 1
_symmetry_space_group_name_Hall 'P 1'
loop_
_atom_site_label
_atom_site_type_symbol
_atom_site_fract_x
_atom_site_fract_y
_atom_site_fract_z
La1 La 0.0000 0.5000 0.2483
La2 La 0.0000 0.5000 0.7517
La3 La 0.5000 0.0000 0.2483
La4 La 0.5000 0.0000 0.7517
La5 La 0.5000 0.5000 0.2483
La6 La 0.5000 0.5000 0.7517
Pm1 Pm 0.0000 0.0000 0.3599
Pm2 Pm 0.0000 0.0000 0.6401
Pm3 Pm 0.3333 0.6667 0.0000
Pm4 Pm 0.3333 0.6667 0.5000
Pm5 Pm 0.6667 0.3333 0.0000
Pm6 Pm 0.6667 0.3333 0.5000
Nd1 Nd 0.0000 0.0000 0.0000

No. 2
# La5Pm3Nd3 (PBE, optimized geometry)
# - calculated formation energy (kcal/mol of atoms) = 6.25
# - ΔE to the lowest computed polymorph (meV per atom) = 0.0
# - symmetry = P-62m, No. 189
# - calculated volume (Å³ per cell) = 408.09
data_La5Pm3Nd3
_chemical_formula_sum 'La5 Pm3 Nd3'
_cell_length_a 11.5653
_cell_length_b 11.5653
_cell_length_c 3.5230
_cell_angle_alpha 90.00
_cell_angle_beta 90.00
_cell_angle_gamma 120.00
_symmetry_space_group_name_H-M 'P 1'
_symmetry_Int_Tables_number 1
_symmetry_space_group_name_Hall 'P 1'
loop_
_atom_site_label
_atom_site_type_symbol
_atom_site_fract_x
_atom_site_fract_y
_atom_site_fract_z
La1 La 0.0000 0.6608 0.0000
La2 La 0.3333 0.6667 0.0000
La3 La 0.3392 0.3392 0.0000
La4 La 0.6608 0.0000 0.0000
La5 La 0.6667 0.3333 0.0000
Pm1 Pm 0.0000 0.1599 0.0000
Pm2 Pm 0.1599 0.0000 0.0000
Pm3 Pm 0.8401 0.8401 0.0000
Nd1 Nd 0.0000 0.4012 0.5000
Nd2 Nd 0.4012 0.0000 0.5000
Nd3 Nd 0.5988 0.5988 0.5000

Taking the records one at a time from the top gives final energy values of -4.59 -4.56 eV/atom.